A plane-wave DFT calculation with PBE was carried out for Rh2Au after structural relaxation.

Lattice parameters (Å, degrees): 4.5236 4.5236 5.3875 90.00 90.00 120.00
Element x y z (fractional)
Au: 0.3333 0.6667 0.2500
Au: 0.6667 0.3333 0.7500
Rh: 0.0000 0.0000 0.5000
Rh: 0.6667 0.3333 0.2500
Rh: 0.3333 0.6667 0.7500
Rh: 0.0000 0.0000 0.0000

Properties
Space group   P6_3/mmc (194)
Energy of formation   36.9 kJ per mole of atoms
E above lowest polymorph   25.0 kJ per mole of atoms


A plane-wave DFT calculation with PBE was carried out for RhAu3 after structural relaxation.

Lattice parameters (Å, degrees): 9.7544 9.7544 9.7544 16.90 16.90 16.90
Element x y z (fractional)
Au: 0.7467 0.7467 0.7467
Au: 0.2533 0.2533 0.2533
Au: 0.5000 0.5000 0.5000
Rh: 0.0000 0.0000 0.0000

Properties
Space group   R-3m (166)
Energy of formation   12.3 kJ per mole of atoms


A plane-wave DFT calculation with PBE was carried out for RhAu2 after structural relaxation.

Lattice parameters (Å, degrees): 5.2415 5.2415 5.2415 103.59 103.59 122.02
Element x y z (fractional)
Au: 0.1557 0.3443 0.5000
Au: 0.3443 0.8443 0.1887
Au: 0.8443 0.6557 0.5000
Au: 0.6557 0.1557 0.8113
Rh: 0.7500 0.7500 0.0000
Rh: 0.2500 0.2500 0.0000

Properties
Space group   I4/mcm (140)
Energy of formation   28.2 kJ per mole of atoms
E above lowest polymorph   14.4 kJ per mole of atoms


A plane-wave DFT calculation with PBE was carried out for RhAu2 after structural relaxation.

Lattice parameters (Å, degrees): 5.5738 5.5738 6.8448 73.27 73.27 29.82
Element x y z (fractional)
Au: 0.3544 0.3544 0.0410
Au: 0.9820 0.9820 0.3031
Au: 0.0180 0.0180 0.6969
Au: 0.6456 0.6456 0.9590
Rh: 0.3020 0.3020 0.6177
Rh: 0.6980 0.6980 0.3823

Properties
Space group   C2/m (12)
Energy of formation   14.4 kJ per mole of atoms
E above lowest polymorph   0.6 kJ per mole of atoms


A plane-wave DFT calculation with PBE was carried out for RhAu2 after structural relaxation.

Lattice parameters (Å, degrees): 5.7964 4.0228 9.1176 90.00 108.43 90.00
Element x y z (fractional)
Rh: 0.6513 0.5000 0.3258
Rh: 0.3487 0.5000 0.6742
Rh: 0.3487 0.0000 0.1742
Rh: 0.6513 0.0000 0.8258
Au: 0.8334 0.0000 0.1650
Au: 0.1666 0.0000 0.8350
Au: 0.1666 0.5000 0.3350
Au: 0.5000 0.5000 0.0000
Au: 0.5000 0.0000 0.5000
Au: 0.0000 0.5000 0.0000
Au: 0.0000 0.0000 0.5000
Au: 0.8334 0.5000 0.6650

Properties
Space group   C2/m (12)
Energy of formation   17.0 kJ per mole of atoms
E above lowest polymorph   3.2 kJ per mole of atoms


A plane-wave DFT calculation with PBE was carried out for Ru2RhAu after structural relaxation.

Lattice parameters (Å, degrees): 4.7769 4.7769 4.8050 80.58 80.58 33.59
Element x y z (fractional)
Rh: 0.2551 0.2551 0.2400
Ru: 0.7437 0.7437 0.7730
Ru: 0.0014 0.0014 0.9903
Au: 0.4998 0.4998 0.4968

Properties
Space group   Cm (8)
Energy of formation   25.2 kJ per mole of atoms
E above lowest polymorph   9.4 kJ per mole of atoms


A plane-wave DFT calculation with PBE was carried out for Ru2RhAu after structural relaxation.

Lattice parameters (Å, degrees): 4.8379 4.8379 4.8379 132.90 132.90 68.82
Element x y z (fractional)
Ru: 0.5000 0.5000 0.0000
Ru: 0.0000 0.0000 0.0000
Rh: 0.7500 0.2500 0.5000
Au: 0.2500 0.7500 0.5000

Properties
Space group   I4/mmm (139)
Energy of formation   32.7 kJ per mole of atoms
E above lowest polymorph   16.9 kJ per mole of atoms


A plane-wave DFT calculation with PBE was carried out for Ru2RhAu after structural relaxation.

Lattice parameters (Å, degrees): 9.2276 9.2276 9.2276 17.24 17.24 17.24
Element x y z (fractional)
Rh: 0.7449 0.7449 0.7449
Ru: 0.2563 0.2563 0.2563
Ru: 0.9987 0.9987 0.9987
Au: 0.5001 0.5001 0.5001

Properties
Space group   R3m (160)
Energy of formation   17.8 kJ per mole of atoms
E above lowest polymorph   2.0 kJ per mole of atoms


A plane-wave DFT calculation with PBE was carried out for Ru2RhAu after structural relaxation.

Lattice parameters (Å, degrees): 3.8909 3.8906 3.9472 90.00 90.00 90.00
Element x y z (fractional)
Rh: 0.0000 0.5000 0.5000
Ru: 0.0000 0.0000 0.0000
Ru: 0.5000 0.5000 0.0000
Au: 0.5000 0.0000 0.5000

Properties
Space group   P4/mmm (123)
Energy of formation   36.1 kJ per mole of atoms
E above lowest polymorph   20.2 kJ per mole of atoms


A plane-wave DFT calculation with PBE was carried out for Ru2RhAu after structural relaxation.

Lattice parameters (Å, degrees): 2.7695 3.8432 5.6268 90.00 90.00 90.00
Element x y z (fractional)
Rh: 0.5000 0.5000 0.7636
Ru: 0.0000 0.0000 0.0097
Ru: 0.5000 0.5000 0.2264
Au: 0.0000 0.0000 0.5003

Properties
Space group   Pmm2 (25)
Energy of formation   21.2 kJ per mole of atoms
E above lowest polymorph   5.4 kJ per mole of atoms


A plane-wave DFT calculation with PBE was carried out for Ru2Rh2Au after structural relaxation.

Lattice parameters (Å, degrees): 7.5021 7.5021 2.7580 90.00 90.00 90.00
Element x y z (fractional)
Ru: 0.8802 0.6198 0.0000
Ru: 0.6198 0.1198 0.0000
Ru: 0.1198 0.3802 0.0000
Ru: 0.3802 0.8802 0.0000
Rh: 0.3269 0.1731 0.5000
Rh: 0.8269 0.3269 0.5000
Rh: 0.1731 0.6731 0.5000
Rh: 0.6731 0.8269 0.5000
Au: 0.0000 0.0000 0.0000
Au: 0.5000 0.5000 0.0000

Properties
Space group   P4/mbm (127)
Energy of formation   30.6 kJ per mole of atoms
E above lowest polymorph   0.0 kJ per mole of atoms


A plane-wave DFT calculation with PBE was carried out for Ru2RhAu after structural relaxation.

Lattice parameters (Å, degrees): 2.7471 2.7471 7.9324 90.00 90.00 90.00
Element x y z (fractional)
Ru: 0.0000 0.0000 0.9853
Ru: 0.0000 0.0000 0.5147
Au: 0.5000 0.5000 0.2500
Rh: 0.5000 0.5000 0.7500

Properties
Space group   P4/mmm (123)
Energy of formation   28.3 kJ per mole of atoms
E above lowest polymorph   12.5 kJ per mole of atoms


A plane-wave DFT calculation with PBE was carried out for Ru2RhAu after structural relaxation.

Lattice parameters (Å, degrees): 4.4194 4.4194 4.4194 60.00 60.00 60.00
Element x y z (fractional)
Rh: 0.0000 0.0000 0.0000
Ru: 0.2500 0.2500 0.2500
Ru: 0.7500 0.7500 0.7500
Au: 0.5000 0.5000 0.5000

Properties
Space group   Fm-3m (225)
Energy of formation   58.1 kJ per mole of atoms
E above lowest polymorph   42.3 kJ per mole of atoms


A plane-wave DFT calculation with PBE was carried out for Ru2RhAu after structural relaxation.

Lattice parameters (Å, degrees): 4.4357 4.4357 4.4357 60.00 60.00 60.00
Element x y z (fractional)
Ru: 0.0000 0.0000 0.0000
Ru: 0.2500 0.2500 0.2500
Rh: 0.7500 0.7500 0.7500
Au: 0.5000 0.5000 0.5000

Properties
Space group   F-43m (216)
Energy of formation   50.9 kJ per mole of atoms
E above lowest polymorph   35.0 kJ per mole of atoms


A plane-wave DFT calculation with PBE was carried out for RuRhAu4 after structural relaxation.

Lattice parameters (Å, degrees): 5.3749 5.3749 5.3749 60.00 60.00 60.00
Element x y z (fractional)
Rh: 0.7500 0.7500 0.7500
Au: 0.3750 0.8749 0.3750
Au: 0.8749 0.3750 0.3750
Au: 0.3750 0.3750 0.3750
Au: 0.3750 0.3750 0.8749
Ru: 0.0000 0.0000 0.0000

Properties
Space group   F-43m (216)
Energy of formation   61.8 kJ per mole of atoms


A plane-wave DFT calculation with PBE was carried out for Ru2RhAu after structural relaxation.

Lattice parameters (Å, degrees): 4.7791 4.7791 4.8070 80.35 80.35 33.64
Element x y z (fractional)
Au: 0.7500 0.7500 0.7500
Ru: 0.5055 0.5055 0.4821
Ru: 0.9945 0.9945 0.0179
Rh: 0.2500 0.2500 0.2500

Properties
Space group   C2/m (12)
Energy of formation   29.1 kJ per mole of atoms
E above lowest polymorph   13.2 kJ per mole of atoms


A plane-wave DFT calculation with PBE was carried out for Ru2RhAu after structural relaxation.

Lattice parameters (Å, degrees): 7.1219 7.1219 5.6866 51.23 51.23 90.00
Element x y z (fractional)
Rh: 0.2500 0.7500 0.5000
Rh: 0.5000 0.5000 0.0000
Au: 0.7500 0.2500 0.5000
Au: 0.0000 0.0000 0.0000
Ru: 0.5866 0.1250 0.2500
Ru: 0.1634 0.6250 0.2500
Ru: 0.8750 0.8366 0.7500
Ru: 0.3750 0.4134 0.7500

Properties
Space group   I-42d (122)
Energy of formation   77.4 kJ per mole of atoms
E above lowest polymorph   61.6 kJ per mole of atoms


A plane-wave DFT calculation with PBE was carried out for Ru2RhAu after structural relaxation.

Lattice parameters (Å, degrees): 2.7640 2.7640 7.8594 90.00 90.00 90.00
Element x y z (fractional)
Ru: 0.5000 0.5000 0.2277
Ru: 0.0000 0.0000 0.0067
Au: 0.0000 0.0000 0.4987
Rh: 0.5000 0.5000 0.7669

Properties
Space group   P4mm (99)
Energy of formation   15.8 kJ per mole of atoms
E above lowest polymorph   0.0 kJ per mole of atoms


A plane-wave DFT calculation with PBE was carried out for RuRh4Au after structural relaxation.

Lattice parameters (Å, degrees): 5.1017 5.1017 5.1017 60.00 60.00 60.00
Element x y z (fractional)
Rh: 0.3750 0.8749 0.3750
Rh: 0.3750 0.3750 0.3750
Rh: 0.8749 0.3750 0.3750
Rh: 0.3750 0.3750 0.8749
Ru: 0.7500 0.7500 0.7500
Au: 0.0000 0.0000 0.0000

Properties
Space group   F-43m (216)
Energy of formation   45.7 kJ per mole of atoms


A plane-wave DFT calculation with PBE was carried out for Ru2Rh2Au after structural relaxation.

Lattice parameters (Å, degrees): 7.5209 7.5209 2.7393 90.00 90.00 90.00
Element x y z (fractional)
Rh: 0.3777 0.8777 0.0000
Rh: 0.1223 0.3777 0.0000
Rh: 0.6223 0.1223 0.0000
Rh: 0.8777 0.6223 0.0000
Ru: 0.8277 0.3277 0.5000
Ru: 0.6723 0.8277 0.5000
Ru: 0.3277 0.1723 0.5000
Ru: 0.1723 0.6723 0.5000
Au: 0.5000 0.5000 0.0000
Au: 0.0000 0.0000 0.0000

Properties
Space group   P4/mbm (127)
Energy of formation   32.7 kJ per mole of atoms
E above lowest polymorph   2.0 kJ per mole of atoms


A plane-wave DFT calculation with PBE was carried out for Ru2RhAu after structural relaxation.

Lattice parameters (Å, degrees): 2.7727 4.7692 5.5237 54.76 90.00 90.00
Element x y z (fractional)
Rh: 0.0000 0.0000 0.5000
Ru: 0.0000 0.0000 0.0000
Ru: 0.5000 0.5000 0.0000
Au: 0.5000 0.5000 0.5000

Properties
Space group   P2/m (10)
Energy of formation   32.2 kJ per mole of atoms
E above lowest polymorph   16.3 kJ per mole of atoms


A plane-wave DFT calculation with PBE was carried out for Ru2RhAu after structural relaxation.

Lattice parameters (Å, degrees): 5.5263 5.5263 5.5263 151.21 129.99 58.73
Element x y z (fractional)
Rh: 0.2301 0.7301 0.5000
Ru: 0.7729 0.2729 0.5000
Ru: 0.9916 0.9916 0.0000
Au: 0.5054 0.5054 0.0000

Properties
Space group   Imm2 (44)
Energy of formation   39.7 kJ per mole of atoms
E above lowest polymorph   23.9 kJ per mole of atoms


A plane-wave DFT calculation with PBE was carried out for Ru2RhAu after structural relaxation.

Lattice parameters (Å, degrees): 3.9291 2.7358 6.2155 63.92 90.00 90.00
Element x y z (fractional)
Ru: 0.0000 0.0215 0.9792
Ru: 0.0000 0.4785 0.5208
Rh: 0.5000 0.7500 0.7500
Au: 0.5000 0.2500 0.2500

Properties
Space group   Pmmm (47)
Energy of formation   28.7 kJ per mole of atoms
E above lowest polymorph   12.9 kJ per mole of atoms


A plane-wave DFT calculation with PBE was carried out for Ru2RhAu after structural relaxation.

Lattice parameters (Å, degrees): 9.2879 9.2879 9.2879 17.05 17.05 17.05
Element x y z (fractional)
Ru: 0.4952 0.4952 0.4952
Ru: 0.0048 0.0048 0.0048
Au: 0.2500 0.2500 0.2500
Rh: 0.7500 0.7500 0.7500

Properties
Space group   R-3m (166)
Energy of formation   26.3 kJ per mole of atoms
E above lowest polymorph   10.5 kJ per mole of atoms


A plane-wave DFT calculation with PBE was carried out for Ru2RhAu after structural relaxation.

Lattice parameters (Å, degrees): 2.7237 2.7237 9.4947 90.00 90.00 118.81
Element x y z (fractional)
Au: 0.0000 0.0000 0.5002
Ru: 0.5000 0.5000 0.2343
Ru: 0.0000 0.0000 0.0021
Rh: 0.5000 0.5000 0.7634

Properties
Space group   Cmm2 (35)
Energy of formation   38.8 kJ per mole of atoms
E above lowest polymorph   23.0 kJ per mole of atoms


A plane-wave DFT calculation with PBE was carried out for RuRh3Au after structural relaxation.

Lattice parameters (Å, degrees): 4.6439 4.6439 4.6439 90.00 90.00 90.00
Element x y z (fractional)
Rh: 0.5000 0.0000 0.0000
Rh: 0.0000 0.0000 0.5000
Rh: 0.0000 0.5000 0.0000
Au: 0.5000 0.5000 0.5000
Ru: 0.0000 0.0000 0.0000

Properties
Space group   Pm-3m (221)
Energy of formation   126.7 kJ per mole of atoms
E above lowest polymorph   0.0 kJ per mole of atoms


A plane-wave DFT calculation with PBE was carried out for Ru2RhAu after structural relaxation.

Lattice parameters (Å, degrees): 4.8111 4.8111 4.8111 132.46 132.46 69.51
Element x y z (fractional)
Ru: 0.2500 0.7500 0.5000
Ru: 0.0000 0.0000 0.0000
Rh: 0.7500 0.2500 0.5000
Au: 0.5000 0.5000 0.0000

Properties
Space group   I-4m2 (119)
Energy of formation   27.9 kJ per mole of atoms
E above lowest polymorph   12.0 kJ per mole of atoms


A plane-wave DFT calculation with PBE was carried out for Ru2RhAu after structural relaxation.

Lattice parameters (Å, degrees): 4.7930 4.7930 2.7675 90.00 90.00 110.32
Element x y z (fractional)
Au: 0.5000 0.0000 0.5000
Ru: 0.5000 0.5000 0.0000
Ru: 0.0000 0.0000 0.0000
Rh: 0.0000 0.5000 0.5000

Properties
Space group   Cmmm (65)
Energy of formation   33.6 kJ per mole of atoms
E above lowest polymorph   17.8 kJ per mole of atoms


A plane-wave DFT calculation with PBE was carried out for RuRh2AuS after structural relaxation.

Lattice parameters (Å, degrees): 4.3391 4.6852 4.3391 90.00 90.00 90.00
Element x y z (fractional)
Au: 0.0000 0.5000 0.0000
Ru: 0.5000 0.5000 0.5000
Rh: 0.0000 0.0000 0.5000
Rh: 0.5000 0.0000 0.0000
S: 0.0000 0.0000 0.0000

Properties
Space group   P4/mmm (123)
Formation energy without anion corrections   71.4 kJ per mole of atoms


no.,size of the total moment (μB/atom),energy (eV per atom)
1,0.543,-5.611
2,0.177,-4.168
3,0.012,-4.343
4,0.001,-4.486
5,0.300,-4.459
6,0.000,-7.034
7,0.000,-6.956
8,0.000,-7.111
9,0.267,-6.921
10,0.000,-7.076
11,0.000,-6.989
12,0.000,-7.002
13,0.232,-6.693
14,0.676,-6.768
15,0.546,-4.315
16,0.000,-6.994
17,0.000,-6.493
18,0.000,-7.131
19,0.402,-6.519
20,0.169,-6.968
21,0.000,-6.962
22,0.000,-6.883
23,0.000,-6.998
24,0.000,-7.022
25,0.384,-6.893
26,0.000,-5.608
27,0.000,-7.006
28,0.000,-6.947
29,0.685,-5.537